[1]
Density functional theory data (PBE) for a geometry-optimized P4S5 structure.

Structure (extended XYZ):
```
18
Lattice="11.550 0.000 0.000 0.000 6.899 0.025 0.000 2.939 6.941" Properties=species:S:1:pos:R:3 pbc="T T T"
P 11.393 6.468 4.236
P 5.618 3.370 2.729
P 9.996 4.741 3.710
P 4.221 5.098 3.256
P 8.572 6.417 3.152
P 2.797 3.422 3.814
P 8.829 6.050 6.467
P 3.054 3.789 0.499
S 10.738 6.952 6.209
S 4.963 2.887 0.757
S 9.226 4.141 5.536
S 3.451 5.698 1.430
S 7.596 6.931 4.968
S 1.821 2.908 1.998
S 10.238 7.675 2.843
S 4.463 2.164 4.123
S 7.276 6.397 1.703
S 1.501 3.442 5.262
```

Summary:
Energy relative to the elements, uncorrected: -16 kJ per mole of atoms
Polymorph energy (0 for the lowest one): 0.0 meV/atom


[2]
Density functional theory data (PBE) for a geometry-optimized Na4TlO3 structure.

Structure (extended XYZ):
```
16
Lattice="-1.982 -5.662 0.500 3.796 2.301 4.872 -7.816 2.828 1.029" Properties=species:S:1:pos:R:3 pbc="T T T"
Na -6.970 1.690 2.188
Na -4.460 -3.716 2.026
Na -4.497 -0.336 3.081
Na -1.219 -3.550 2.726
Na -4.454 3.252 3.816
Na -1.386 -0.560 3.513
Na -1.413 3.044 4.220
Na 1.146 -2.222 4.045
Tl -3.152 0.527 5.836
Tl 1.432 1.045 5.150
O -6.871 -0.508 2.809
O -2.986 -1.989 2.300
O -2.983 1.384 3.722
O 0.919 -0.049 3.208
O -4.896 -0.862 5.475
O -1.075 -2.524 4.982
```

Summary:
Energy relative to the elements, uncorrected: -106 kJ per mole of atoms


[3]
Density functional theory data (PBE) for a geometry-optimized Cr3CdB structure.

Structure (extended XYZ):
```
5
Lattice="-1.778 1.436 3.291 -3.589 -0.593 -1.680 -0.115 -3.694 1.549" Properties=species:S:1:pos:R:3 pbc="T T T"
Cr -1.794 -0.296 -0.840
Cr -0.058 -1.847 0.774
Cr -0.889 0.718 1.646
B 0.000 0.000 0.000
Cd -2.741 -1.425 1.580
```

Summary:
Polymorph energy (0 for the lowest one): 0.0 meV/atom
E_form: 0.41 eV per atom


[4]
Density functional theory data (PBE) for a geometry-optimized CsRb2CaF5 structure.

Structure (extended XYZ):
```
9
Lattice="-0.753 -1.632 4.098 -4.551 -4.186 -2.503 7.409 -1.690 -1.754" Properties=species:S:1:pos:R:3 pbc="T T T"
Cs -2.276 -2.093 -1.252
Rb 2.054 -1.986 -0.413
Rb 0.051 -5.522 0.253
Ca -0.377 -0.816 2.049
F -2.676 -5.175 -0.110
F 4.781 -2.333 -0.050
F 2.354 -4.565 -1.385
F -0.249 -2.943 1.225
F 0.000 0.000 0.000
```

Summary:
Energy relative to the elements, uncorrected: -300 kJ per mole of atoms


[5]
Density functional theory data (PBE) for a geometry-optimized CaCd10Pd2 structure.

Structure (extended XYZ):
```
13
Lattice="5.273 0.000 2.150 2.636 6.969 1.075 -0.069 0.000 7.710" Properties=species:S:1:pos:R:3 pbc="T T T"
Ca 0.000 0.000 0.000
Cd 3.450 4.447 6.621
Cd 4.391 2.522 4.313
Cd 6.086 2.522 7.696
Cd 1.754 4.447 3.238
Cd -0.034 0.000 3.855
Cd 2.602 0.000 4.930
Cd 2.083 1.530 2.432
Cd 5.758 5.440 8.502
Cd 4.719 5.440 3.507
Cd 3.121 1.530 7.427
Pd 1.318 3.485 0.537
Pd 3.955 3.485 1.612
```

Summary:
E_form: -0.22 eV per atom


| no. | total energy (eV per atom) |
| --- | --- |
| 1 | -4.8599 |
| 2 | -3.9118 |
| 3 | -6.8808 |
| 4 | -4.6778 |
| 5 | -1.8747 |